Compound: KHIN2
Source: the Alexandria database
Functional: GGA-PBE
Structure: relaxed

Computed properties:
The value obtained for the total magnetic moment is 7.1 μB per cell. The value obtained for the energy above the most stable polymorph in this dataset is 433 meV per atom. Its mass density is 1.35 g cm⁻³. The total DFT energy (no corrections) comes out at -12.34 eV/cell.

a b c (Å): 6.071 6.071 6.503
angles (deg): 90.00 90.00 90.00
Each line ends with the local moment (μB).
Atoms (fractional coordinates):
I  0.000  0.000  0.500  0.23
H  0.500  0.500  0.500  0.38
K  0.000  0.000  0.000  0.01
N  0.000  0.500  0.000  1.87
N  0.500  0.000  0.000  1.87